Computed, not measured: TaZn2Re after structural relaxation at the PBEsol level of DFT.

Calculated values
energy above the lowest structure with this stoichiometry: 0.176 eV per atom
size of the total moment: 0.000 μB per formula unit
energy of formation from the pure elements: 1.05 eV/f.u.
V: 58.4 Å³/cell

Cell: 3.291 3.291 5.388 Å, 90.00 90.00 90.00°
Element x y z (fractional)
Zn  0.000  0.000  0.763
Zn  0.000  0.000  0.237
Re  0.500  0.500  0.000
Ta  0.500  0.500  0.500

Computed, not measured: AlZn2Cd after structural relaxation at the PBEsol level of DFT.

Calculated values
energy above the lowest structure with this stoichiometry: 0.000 eV per atom
size of the total moment: 0.000 μB per formula unit
energy of formation from the pure elements: 0.32 eV/f.u.
V: 66.4 Å³/cell

Cell: 2.799 4.980 4.980 Å, 106.92 90.00 90.00°
Element x y z (fractional)
Zn  0.000  0.500  0.000
Al  0.500  0.000  0.000
Cd  0.500  0.500  0.500
Zn  0.000  0.000  0.500

no.,ρ (g/cm3)
1,14.17
2,6.76